i | # Mo4Se PBE optimized geometry
# DOS(E_F) = 9.42 states/eV per cell
data_Mo4Se
_chemical_formula_sum 'Mo8 Se2'
_space_group_name_H-M_alt 'I m -3 m'
_space_group_IT_number 229
_space_group_name_Hall '-I 4 2 3'
_cell_length_a 5.6965
_cell_length_b 5.6965
_cell_length_c 5.6965
_cell_angle_alpha 90.00
_cell_angle_beta 90.00
_cell_angle_gamma 90.00
loop_
_atom_site_label
_atom_site_type_symbol
_atom_site_fract_x
_atom_site_fract_y
_atom_site_fract_z
Mo1 Mo 0.2500 0.2500 0.2500
Se1 Se 0.0000 0.0000 0.0000

ii | # Mo4Se PBE optimized geometry
# DOS(E_F) = 7.57 states/eV per cell
data_Mo4Se
_chemical_formula_sum 'Mo4 Se1'
_space_group_name_H-M_alt 'P m -3 m'
_space_group_IT_number 221
_space_group_name_Hall '-P 4 2 3'
_cell_length_a 4.5426
_cell_length_b 4.5426
_cell_length_c 4.5426
_cell_angle_alpha 90.00
_cell_angle_beta 90.00
_cell_angle_gamma 90.00
loop_
_atom_site_label
_atom_site_type_symbol
_atom_site_fract_x
_atom_site_fract_y
_atom_site_fract_z
Mo1 Mo 0.0000 0.0000 0.0000
Mo2 Mo 0.0000 0.5000 0.5000
Se1 Se 0.5000 0.5000 0.5000

iii | # Mo4Se PBE optimized geometry
# DOS(E_F) = 8.85 states/eV per cell
data_Mo4Se
_chemical_formula_sum 'Mo8 Se2'
_space_group_name_H-M_alt 'I 4/m'
_space_group_IT_number 87
_space_group_name_Hall '-I 4'
_cell_length_a 7.0253
_cell_length_b 7.0253
_cell_length_c 3.1881
_cell_angle_alpha 90.00
_cell_angle_beta 90.00
_cell_angle_gamma 90.00
loop_
_atom_site_label
_atom_site_type_symbol
_atom_site_fract_x
_atom_site_fract_y
_atom_site_fract_z
Mo1 Mo 0.0974 0.3000 0.0000
Se1 Se 0.0000 0.0000 0.5000

iii takes first place; second place is 97.9 kJ/mol of atoms up.

i | # SiMo2Se PBE optimized geometry
# DOS(E_F) = 4.99 states/eV per cell
data_SiMo2Se
_chemical_formula_sum 'Si2 Mo4 Se2'
_space_group_name_H-M_alt 'I -4 m 2'
_space_group_IT_number 119
_space_group_name_Hall 'I -4 -2'
_cell_length_a 4.0648
_cell_length_b 4.0648
_cell_length_c 7.5789
_cell_angle_alpha 90.00
_cell_angle_beta 90.00
_cell_angle_gamma 90.00
loop_
_atom_site_label
_atom_site_type_symbol
_atom_site_fract_x
_atom_site_fract_y
_atom_site_fract_z
Si1 Si 0.0000 0.0000 0.0000
Mo1 Mo 0.0000 0.0000 0.5000
Mo2 Mo 0.0000 0.5000 0.7500
Se1 Se 0.0000 0.5000 0.2500

ii | # SiMo2Se PBE optimized geometry
# DOS(E_F) = 7.71 states/eV per cell
data_SiMo2Se
_chemical_formula_sum 'Si2 Mo4 Se2'
_space_group_name_H-M_alt 'I m m m'
_space_group_IT_number 71
_space_group_name_Hall '-I 2 2'
_cell_length_a 3.4369
_cell_length_b 4.7851
_cell_length_c 7.8555
_cell_angle_alpha 90.00
_cell_angle_beta 90.00
_cell_angle_gamma 90.00
loop_
_atom_site_label
_atom_site_type_symbol
_atom_site_fract_x
_atom_site_fract_y
_atom_site_fract_z
Si1 Si 0.0000 0.0000 0.0000
Mo1 Mo 0.0000 0.5000 0.2872
Se1 Se 0.0000 0.0000 0.5000

iii | # SiMo2Se PBE optimized geometry
# DOS(E_F) = 8.32 states/eV per cell
data_SiMo2Se
_chemical_formula_sum 'Si2 Mo4 Se2'
_space_group_name_H-M_alt 'C 1 2/m 1'
_space_group_IT_number 12
_space_group_name_Hall '-C 2y'
_cell_length_a 8.1631
_cell_length_b 3.0126
_cell_length_c 5.1924
_cell_angle_alpha 90.00
_cell_angle_beta 102.41
_cell_angle_gamma 90.00
loop_
_atom_site_label
_atom_site_type_symbol
_atom_site_fract_x
_atom_site_fract_y
_atom_site_fract_z
Si1 Si 0.0000 0.0000 0.0000
Mo1 Mo 0.2391 0.5000 0.2413
Se1 Se 0.0000 0.5000 0.5000

iv | # SiMo2Se PBE optimized geometry
# DOS(E_F) = 1.75 states/eV per cell
data_SiMo2Se
_chemical_formula_sum 'Si1 Mo2 Se1'
_space_group_name_H-M_alt 'P 4 m m'
_space_group_IT_number 99
_space_group_name_Hall 'P 4 -2'
_cell_length_a 3.2533
_cell_length_b 3.2533
_cell_length_c 5.8178
_cell_angle_alpha 90.00
_cell_angle_beta 90.00
_cell_angle_gamma 90.00
loop_
_atom_site_label
_atom_site_type_symbol
_atom_site_fract_x
_atom_site_fract_y
_atom_site_fract_z
Si1 Si 0.0000 0.0000 0.0000
Mo1 Mo 0.0000 0.0000 0.4871
Mo2 Mo 0.5000 0.5000 0.1666
Se1 Se 0.5000 0.5000 0.6969

iv takes first place; second place is 26.8 kJ/mol of atoms up.

i | # SiMo2Se PBE optimized geometry
# DOS(E_F) = 3.04 states/eV per cell
data_SiMo2Se
_chemical_formula_sum 'Si1 Mo2 Se1'
_space_group_name_H-M_alt 'P 4/m m m'
_space_group_IT_number 123
_space_group_name_Hall '-P 4 2'
_cell_length_a 3.1065
_cell_length_b 3.1065
_cell_length_c 6.2592
_cell_angle_alpha 90.00
_cell_angle_beta 90.00
_cell_angle_gamma 90.00
loop_
_atom_site_label
_atom_site_type_symbol
_atom_site_fract_x
_atom_site_fract_y
_atom_site_fract_z
Si1 Si 0.0000 0.0000 0.0000
Mo1 Mo 0.5000 0.5000 0.2259
Se1 Se 0.0000 0.0000 0.5000

ii | # SiMo2Se PBE optimized geometry
# DOS(E_F) = 6.23 states/eV per cell
data_SiMo2Se
_chemical_formula_sum 'Si2 Mo4 Se2'
_space_group_name_H-M_alt 'C m m 2'
_space_group_IT_number 35
_space_group_name_Hall 'C 2 -2'
_cell_length_a 3.2232
_cell_length_b 4.5935
_cell_length_c 9.2524
_cell_angle_alpha 90.00
_cell_angle_beta 90.00
_cell_angle_gamma 90.00
loop_
_atom_site_label
_atom_site_type_symbol
_atom_site_fract_x
_atom_site_fract_y
_atom_site_fract_z
Si1 Si 0.0000 0.0000 0.0000
Mo1 Mo 0.0000 0.0000 0.5461
Mo2 Mo 0.0000 0.5000 0.7820
Se1 Se 0.0000 0.5000 0.3199

i takes first place; second place is 28.8 kJ/mol of atoms up.

i | # SiMo2Se PBE optimized geometry
# DOS(E_F) = 11.33 states/eV per cell
data_SiMo2Se
_chemical_formula_sum 'Si3 Mo6 Se3'
_space_group_name_H-M_alt 'R -3 m'
_space_group_IT_number 166
_space_group_name_Hall '-R 3 2"'
_cell_length_a 3.0132
_cell_length_b 3.0132
_cell_length_c 23.7346
_cell_angle_alpha 90.00
_cell_angle_beta 90.00
_cell_angle_gamma 120.00
loop_
_atom_site_label
_atom_site_type_symbol
_atom_site_fract_x
_atom_site_fract_y
_atom_site_fract_z
Si1 Si 0.0000 0.0000 0.0000
Mo1 Mo 0.0000 0.0000 0.2501
Se1 Se 0.0000 0.0000 0.5000

ii | # SiMo2Se PBE optimized geometry
# DOS(E_F) = 15.83 states/eV per cell
data_SiMo2Se
_chemical_formula_sum 'Si4 Mo8 Se4'
_space_group_name_H-M_alt 'I -4 2 d'
_space_group_IT_number 122
_space_group_name_Hall 'I -4 2bw'
_cell_length_a 3.9114
_cell_length_b 3.9114
_cell_length_c 17.6115
_cell_angle_alpha 90.00
_cell_angle_beta 90.00
_cell_angle_gamma 90.00
loop_
_atom_site_label
_atom_site_type_symbol
_atom_site_fract_x
_atom_site_fract_y
_atom_site_fract_z
Si1 Si 0.0000 0.0000 0.0000
Mo1 Mo 0.2467 0.2500 0.6250
Se1 Se 0.0000 0.0000 0.5000

iii | # SiMo2Se PBE optimized geometry
# DOS(E_F) = 11.75 states/eV per cell
data_SiMo2Se
_chemical_formula_sum 'Si4 Mo8 Se4'
_space_group_name_H-M_alt 'F m -3 m'
_space_group_IT_number 225
_space_group_name_Hall '-F 4 2 3'
_cell_length_a 6.1959
_cell_length_b 6.1959
_cell_length_c 6.1959
_cell_angle_alpha 90.00
_cell_angle_beta 90.00
_cell_angle_gamma 90.00
loop_
_atom_site_label
_atom_site_type_symbol
_atom_site_fract_x
_atom_site_fract_y
_atom_site_fract_z
Si1 Si 0.0000 0.0000 0.0000
Mo1 Mo 0.2500 0.2500 0.2500
Se1 Se 0.0000 0.0000 0.5000

iv | # SiMo2Se PBE optimized geometry
# DOS(E_F) = 9.58 states/eV per cell
data_SiMo2Se
_chemical_formula_sum 'Si3 Mo6 Se3'
_space_group_name_H-M_alt 'R 3 m'
_space_group_IT_number 160
_space_group_name_Hall 'R 3 -2"'
_cell_length_a 3.0909
_cell_length_b 3.0909
_cell_length_c 23.6628
_cell_angle_alpha 90.00
_cell_angle_beta 90.00
_cell_angle_gamma 120.00
loop_
_atom_site_label
_atom_site_type_symbol
_atom_site_fract_x
_atom_site_fract_y
_atom_site_fract_z
Si1 Si 0.0000 0.0000 0.0000
Mo1 Mo 0.0000 0.0000 0.4988
Mo2 Mo 0.0000 0.0000 0.7414
Se1 Se 0.0000 0.0000 0.2424

iii takes first place; second place is 3.6 kJ/mol of atoms up.

i | # SiMo2Se PBE optimized geometry
# DOS(E_F) = 8.26 states/eV per cell
data_SiMo2Se
_chemical_formula_sum 'Si2 Mo4 Se2'
_space_group_name_H-M_alt 'C m m m'
_space_group_IT_number 65
_space_group_name_Hall '-C 2 2'
_cell_length_a 3.3005
_cell_length_b 4.7793
_cell_length_c 8.0166
_cell_angle_alpha 90.00
_cell_angle_beta 90.00
_cell_angle_gamma 90.00
loop_
_atom_site_label
_atom_site_type_symbol
_atom_site_fract_x
_atom_site_fract_y
_atom_site_fract_z
Si1 Si 0.0000 0.0000 0.0000
Mo1 Mo 0.0000 0.5000 0.2332
Se1 Se 0.0000 0.0000 0.5000

ii | # SiMo2Se PBE optimized geometry
# DOS(E_F) = 3.15 states/eV per cell
data_SiMo2Se
_chemical_formula_sum 'Si1 Mo2 Se1'
_space_group_name_H-M_alt 'P m m m'
_space_group_IT_number 47
_space_group_name_Hall '-P 2 2'
_cell_length_a 3.1304
_cell_length_b 4.0109
_cell_length_c 5.0481
_cell_angle_alpha 90.00
_cell_angle_beta 90.00
_cell_angle_gamma 90.00
loop_
_atom_site_label
_atom_site_type_symbol
_atom_site_fract_x
_atom_site_fract_y
_atom_site_fract_z
Si1 Si 0.0000 0.0000 0.0000
Mo1 Mo 0.0000 0.5000 0.5000
Mo2 Mo 0.5000 0.5000 0.0000
Se1 Se 0.5000 0.0000 0.5000

i takes first place; second place is 0.7 kJ/mol of atoms up.

i | # SiMo2Se PBE optimized geometry
# DOS(E_F) = 5.85 states/eV per cell
data_SiMo2Se
_chemical_formula_sum 'Si2 Mo4 Se2'
_space_group_name_H-M_alt 'I m m 2'
_space_group_IT_number 44
_space_group_name_Hall 'I 2 -2'
_cell_length_a 3.0671
_cell_length_b 4.2187
_cell_length_c 9.7231
_cell_angle_alpha 90.00
_cell_angle_beta 90.00
_cell_angle_gamma 90.00
loop_
_atom_site_label
_atom_site_type_symbol
_atom_site_fract_x
_atom_site_fract_y
_atom_site_fract_z
Si1 Si 0.0000 0.0000 0.0000
Mo1 Mo 0.0000 0.0000 0.4956
Mo2 Mo 0.0000 0.5000 0.7283
Se1 Se 0.0000 0.5000 0.2127

ii | # SiMo2Se PBE optimized geometry
# DOS(E_F) = 3.39 states/eV per cell
data_SiMo2Se
_chemical_formula_sum 'Si2 Mo4 Se2'
_space_group_name_H-M_alt 'C 1 m 1'
_space_group_IT_number 8
_space_group_name_Hall 'C -2y'
_cell_length_a 8.8378
_cell_length_b 3.1702
_cell_length_c 4.5300
_cell_angle_alpha 90.00
_cell_angle_beta 106.24
_cell_angle_gamma 90.00
loop_
_atom_site_label
_atom_site_type_symbol
_atom_site_fract_x
_atom_site_fract_y
_atom_site_fract_z
Si1 Si 0.0000 0.0000 0.0000
Mo1 Mo 0.2354 0.5000 0.1233
Mo2 Mo 0.4994 0.0000 0.4897
Se1 Se 0.2420 0.0000 0.6585

ii takes first place; second place is 18.7 kJ/mol of atoms up.

i | # SiMoSe PBE optimized geometry
# DOS(E_F) = 3.02 states/eV per cell
data_SiMoSe
_chemical_formula_sum 'Si4 Mo4 Se4'
_space_group_name_H-M_alt 'F m m 2'
_space_group_IT_number 42
_space_group_name_Hall 'F 2 -2'
_cell_length_a 3.3047
_cell_length_b 4.6013
_cell_length_c 14.0631
_cell_angle_alpha 90.00
_cell_angle_beta 90.00
_cell_angle_gamma 90.00
loop_
_atom_site_label
_atom_site_type_symbol
_atom_site_fract_x
_atom_site_fract_y
_atom_site_fract_z
Si1 Si 0.0000 0.0000 0.0000
Mo1 Mo 0.0000 0.0000 0.3573
Se1 Se 0.0000 0.0000 0.7133

ii | # SiMoSe PBE optimized geometry
# DOS(E_F) = 11.87 states/eV per cell
data_SiMoSe
_chemical_formula_sum 'Si4 Mo4 Se4'
_space_group_name_H-M_alt 'F -4 3 m'
_space_group_IT_number 216
_space_group_name_Hall 'F -4 2 3'
_cell_length_a 6.0166
_cell_length_b 6.0166
_cell_length_c 6.0166
_cell_angle_alpha 90.00
_cell_angle_beta 90.00
_cell_angle_gamma 90.00
loop_
_atom_site_label
_atom_site_type_symbol
_atom_site_fract_x
_atom_site_fract_y
_atom_site_fract_z
Si1 Si 0.0000 0.0000 0.0000
Mo1 Mo 0.2500 0.2500 0.7500
Se1 Se 0.2500 0.2500 0.2500

iii | # SiMoSe PBE optimized geometry
# DOS(E_F) = 1.16 states/eV per cell
data_SiMoSe
_chemical_formula_sum 'Si1 Mo1 Se1'
_space_group_name_H-M_alt 'P 3 m 1'
_space_group_IT_number 156
_space_group_name_Hall 'P 3 -2"'
_cell_length_a 3.2170
_cell_length_b 3.2170
_cell_length_c 5.6021
_cell_angle_alpha 90.00
_cell_angle_beta 90.00
_cell_angle_gamma 120.00
loop_
_atom_site_label
_atom_site_type_symbol
_atom_site_fract_x
_atom_site_fract_y
_atom_site_fract_z
Si1 Si 0.0000 0.0000 0.0000
Mo1 Mo 0.6667 0.3333 0.3078
Se1 Se 0.3333 0.6667 0.6216

iv | # SiMoSe PBE optimized geometry
# DOS(E_F) = 9.30 states/eV per cell
data_SiMoSe
_chemical_formula_sum 'Si4 Mo4 Se4'
_space_group_name_H-M_alt 'F -4 3 m'
_space_group_IT_number 216
_space_group_name_Hall 'F -4 2 3'
_cell_length_a 6.1165
_cell_length_b 6.1165
_cell_length_c 6.1165
_cell_angle_alpha 90.00
_cell_angle_beta 90.00
_cell_angle_gamma 90.00
loop_
_atom_site_label
_atom_site_type_symbol
_atom_site_fract_x
_atom_site_fract_y
_atom_site_fract_z
Si1 Si 0.0000 0.0000 0.0000
Mo1 Mo 0.2500 0.2500 0.2500
Se1 Se 0.0000 0.0000 0.5000

iii takes first place; second place is 37.5 kJ/mol of atoms up.

i | # SiMoSe PBE optimized geometry
# DOS(E_F) = 2.70 states/eV per cell
data_SiMoSe
_chemical_formula_sum 'Si2 Mo2 Se2'
_space_group_name_H-M_alt 'P 4/n m m'
_space_group_IT_number 129
_cell_length_a 3.3572
_cell_length_b 3.3572
_cell_length_c 9.6070
_cell_angle_alpha 90.00
_cell_angle_beta 90.00
_cell_angle_gamma 90.00
loop_
_space_group_symop_operation_xyz
'x,y,z'
'-x,-y,-z'
'-y+1/2,x,z'
'y+1/2,-x,-z'
'-x+1/2,-y+1/2,z'
'x+1/2,y+1/2,-z'
'y,-x+1/2,z'
'-y,x+1/2,-z'
'x+1/2,-y,-z'
'-x+1/2,y,z'
'-y,-x,-z'
'y,x,z'
'-x,y+1/2,-z'
'x,-y+1/2,z'
'y+1/2,x+1/2,-z'
'-y+1/2,-x+1/2,z'
loop_
_atom_site_label
_atom_site_type_symbol
_atom_site_fract_x
_atom_site_fract_y
_atom_site_fract_z
Si1 Si 0.2500 0.7500 0.0000
Mo1 Mo 0.2500 0.2500 0.1986
Se1 Se 0.2500 0.2500 0.6644

ii | # SiMoSe PBE optimized geometry
# DOS(E_F) = 1.48 states/eV per cell
data_SiMoSe
_chemical_formula_sum 'Si1 Mo1 Se1'
_space_group_name_H-M_alt 'P -6 m 2'
_space_group_IT_number 187
_space_group_name_Hall 'P -6 2'
_cell_length_a 4.3595
_cell_length_b 4.3595
_cell_length_c 2.9853
_cell_angle_alpha 90.00
_cell_angle_beta 90.00
_cell_angle_gamma 120.00
loop_
_atom_site_label
_atom_site_type_symbol
_atom_site_fract_x
_atom_site_fract_y
_atom_site_fract_z
Si1 Si 0.0000 0.0000 0.0000
Mo1 Mo 0.6667 0.3333 0.5000
Se1 Se 0.3333 0.6667 0.5000

iii | # SiMoSe PBE optimized geometry
# DOS(E_F) = 3.22 states/eV per cell
data_SiMoSe
_chemical_formula_sum 'Si2 Mo2 Se2'
_space_group_name_H-M_alt 'I 4 m m'
_space_group_IT_number 107
_space_group_name_Hall 'I 4 -2'
_cell_length_a 3.3249
_cell_length_b 3.3249
_cell_length_c 8.4850
_cell_angle_alpha 90.00
_cell_angle_beta 90.00
_cell_angle_gamma 90.00
loop_
_atom_site_label
_atom_site_type_symbol
_atom_site_fract_x
_atom_site_fract_y
_atom_site_fract_z
Si1 Si 0.0000 0.0000 0.0000
Mo1 Mo 0.0000 0.0000 0.3534
Se1 Se 0.0000 0.0000 0.6754

i takes first place; second place is 37.0 kJ/mol of atoms up.